(1)
CsSiPt3 | PBE | relaxed

Cell: 4.7961 4.7961 4.7961 Å, 90.00 90.00 90.00°
With the nearest neighbours (Å) after each atom.
Fractional positions:
Cs (0.0000, 0.0000, 0.0000)  12 Pt 3.39
Si (0.5000, 0.5000, 0.5000)  6 Pt 2.40
Pt (0.0000, 0.5000, 0.5000)  2 Si 2.40
Pt (0.5000, 0.0000, 0.5000)  2 Si 2.40
Pt (0.5000, 0.5000, 0.0000)  2 Si 2.40

Uncorrected formation energy, kJ/mol of atoms: 14.8
Space group: Pm-3m (221)
Excess energy over the best structure of this formula in the dataset, eV/f.u.: 0.00

---

(2)
Er5RuPb4 | PBE | relaxed

Cell: 7.4885 7.4885 7.4885 Å, 99.60 99.60 131.79°
With the nearest neighbours (Å) after each atom.
Fractional positions:
Er (0.0000, 0.0000, 0.0000)  2 Ru 2.95-3.17, 4 Pb 3.29
Er (0.1583, 0.2904, 0.6434)  1 Ru 2.64
Er (0.2904, 0.6470, 0.1321)  1 Ru 2.64
Er (0.5149, 0.1583, 0.8679)  1 Ru 2.64
Er (0.6470, 0.5149, 0.3566)  1 Ru 2.64
Ru (0.4822, 0.4822, 0.0000)  5 Er 2.64-2.95
Pb (0.2290, 0.9661, 0.3934)  6 Er 3.16-3.31
Pb (0.5727, 0.8356, 0.6066)  6 Er 3.16-3.31
Pb (0.8356, 0.2290, 0.2629)  6 Er 3.16-3.31
Pb (0.9661, 0.5727, 0.7371)  6 Er 3.16-3.31

Energy relative to the elements, eV per atom: -0.259
Space group: I4 (79)

---

(3)
ThRuPb | PBE | relaxed

Cell: 8.3479 4.8212 8.1323 Å, 90.00 110.09 90.00°
With the nearest neighbours (Å) after each atom.
Fractional positions:
Th (0.2437, 0.0000, 0.2317)  1 Ru 2.74
Th (0.2563, 0.5000, 0.7683)  1 Ru 2.74
Th (0.7437, 0.5000, 0.2317)  1 Ru 2.74
Th (0.7563, 0.0000, 0.7683)  1 Ru 2.74
Ru (0.1363, 0.5000, 0.4093)  1 Th 2.74, 3 Pb 2.87
Ru (0.3637, 0.0000, 0.5907)  1 Th 2.74, 3 Pb 2.87
Ru (0.6363, 0.0000, 0.4093)  1 Th 2.74, 3 Pb 2.87
Ru (0.8637, 0.5000, 0.5907)  1 Th 2.74, 3 Pb 2.87
Pb (0.0000, 0.0000, 0.5000)  6 Ru 2.87
Pb (0.0000, 0.5000, 0.0000)  2 Ru 3.13, 6 Th 3.30
Pb (0.5000, 0.0000, 0.0000)  2 Ru 3.13, 6 Th 3.30
Pb (0.5000, 0.5000, 0.5000)  6 Ru 2.87

Energy relative to the elements, eV per atom: -0.214
Space group: C2/m (12)

---

What is the formula in the third record? ThRuPb